No. 1
The following is a DFT calculation (PBE) of an optimized crystal structure of Ac3Ge2Pd2.

Cell and atoms, written as POSCAR:
```
Ac3Ge2Pd2
1.0
5.818 -2.266 0.000
5.818 2.266 0.000
-2.693 0.000 7.421
Ac Ge Pd
3 2 2
Direct
0.000 0.000 0.000
0.185 0.185 0.657
0.815 0.815 0.343
0.465 0.465 0.644
0.535 0.535 0.356
0.325 0.325 0.082
0.675 0.675 0.918
```

Values from the calculation:
Calculated density (g/cm3): 8.82
E_tot (eV/atom): -5.357
SG: C2/m
D(E_F) (states/eV/f.u.): 4.12
Formation enthalpy at 0 K (eV/atom): -0.793

No. 2
The following is a DFT calculation (PBE) of an optimized crystal structure of Ac2GePd5.

Cell and atoms, written as POSCAR:
```
Ac2GePd5
1.0
-3.149 3.149 4.509
3.149 -3.149 4.509
3.149 3.149 -4.509
Ac Ge Pd
2 1 5
Direct
0.000 0.500 0.500
0.500 0.000 0.500
0.240 0.240 0.000
0.525 0.525 0.000
0.530 0.530 0.556
0.530 0.974 0.000
0.974 0.530 0.000
0.974 0.974 0.444
```

Values from the calculation:
Calculated density (g/cm3): 9.83
E_tot (eV/atom): -5.615
SG: I4mm
D(E_F) (states/eV/f.u.): 2.83
Formation enthalpy at 0 K (eV/atom): -0.765

No. 3
The following is a DFT calculation (PBE) of an optimized crystal structure of Ac6Ge2Pd.

Cell and atoms, written as POSCAR:
```
Ac6Ge2Pd
1.0
7.137 0.000 0.000
0.000 8.459 0.000
-6.909 0.000 10.801
Ac Ge Pd
12 4 2
Direct
0.077 0.183 0.432
0.077 0.317 0.932
0.289 0.672 0.438
0.289 0.828 0.938
0.396 0.042 0.243
0.396 0.458 0.743
0.604 0.542 0.257
0.604 0.958 0.757
0.711 0.172 0.062
0.711 0.328 0.562
0.923 0.683 0.068
0.923 0.817 0.568
0.175 0.121 0.746
0.175 0.379 0.246
0.825 0.621 0.754
0.825 0.879 0.254
0.500 0.000 0.500
0.500 0.500 0.000
```

Values from the calculation:
Calculated density (g/cm3): 8.22
E_tot (eV/atom): -4.817
SG: P2_1/c
D(E_F) (states/eV/f.u.): 10.38
Formation enthalpy at 0 K (eV/atom): -0.475

No. 4
The following is a DFT calculation (PBE) of an optimized crystal structure of Ac3Ge3Pd2.

Cell and atoms, written as POSCAR:
```
Ac3Ge3Pd2
1.0
2.243 -5.769 0.000
2.243 5.769 0.000
0.000 0.000 16.311
Ac Ge Pd
6 6 4
Direct
0.081 0.919 0.750
0.359 0.641 0.593
0.359 0.641 0.907
0.641 0.359 0.093
0.641 0.359 0.407
0.919 0.081 0.250
0.082 0.918 0.551
0.082 0.918 0.949
0.207 0.793 0.250
0.793 0.207 0.750
0.918 0.082 0.051
0.918 0.082 0.449
0.351 0.649 0.120
0.351 0.649 0.380
0.649 0.351 0.620
0.649 0.351 0.880
```

Values from the calculation:
Calculated density (g/cm3): 8.75
E_tot (eV/atom): -5.433
SG: Cmcm
D(E_F) (states/eV/f.u.): 5.24
Formation enthalpy at 0 K (eV/atom): -0.863